(1)
## NaPmY2S4 (PBE-GGA)

Data for a geometry-optimized NaPmY2S4 structure.

For the density of states at the Fermi level, the calculation gives 2.6 states/eV per cell. As for the uncorrected formation energy: -44.54 kcal/mol of atoms. For the calculated density, the calculation gives 4.43 g/cm³.

The space group is P2/m (No. 10) and the conventional cell measures 6.8908, 3.9479 and 6.9170 Å, with angles of 90.00, 109.05 and 90.00 degrees. The asymmetric unit holds Na at (0.0000, 0.0000, 0.0000), Pm at (0.5000, 0.5000, 0.0000), Y at (0.0000, 0.5000, 0.5000), Y at (0.5000, 0.0000, 0.5000), S at (0.2447, 0.0000, 0.7416) and S at (0.2540, 0.5000, 0.2607).

(2)
## LaNi2H2 (PBE-GGA)

Data for a geometry-optimized LaNi2H2 structure.

For the density of states at the Fermi level, the calculation gives 3.5 states/eV per cell. The calculation puts the total energy at -48.53 eV for the cell shown. For the calculated density, the calculation gives 7.13 g/cm³.

The space group is I4/mmm (No. 139) and the conventional cell measures 3.5831, 3.5831 and 9.3655 Å, with angles of 90.00, 90.00 and 90.00 degrees. The asymmetric unit holds La at (0.0000, 0.0000, 0.0000), Ni at (0.0000, 0.0000, 0.2870) and H at (0.0000, 0.5000, 0.2500).

(3)
## Na2BAs (PBE-GGA)

Data for a geometry-optimized Na2BAs structure.

For the density of states at the Fermi level, the calculation gives 0.0 states/eV per cell. Its energy relative to the lowest polymorph listed for this composition is 0 meV/atom. For the calculated density, the calculation gives 2.88 g/cm³.

The space group is Fm-3m (No. 225) and the conventional cell measures 6.7197, 6.7197 and 6.7197 Å, with angles of 90.00, 90.00 and 90.00 degrees. The asymmetric unit holds Na at (0.2500, 0.2500, 0.2500), B at (0.0000, 0.0000, 0.0000) and As at (0.0000, 0.0000, 0.5000).

(4)
## RhAuBr2 (PBE-GGA)

Data for a geometry-optimized RhAuBr2 structure.

For the density of states at the Fermi level, the calculation gives 5.0 states/eV per cell. Its energy relative to the lowest polymorph listed for this composition is 320 meV/atom. As for the uncorrected formation energy: 7.95 kcal/mol of atoms. For the calculated density, the calculation gives 8.55 g/cm³.

The space group is Imm2 (No. 44) and the conventional cell measures 3.1427, 4.6216 and 12.2953 Å, with angles of 90.00, 90.00 and 90.00 degrees. The asymmetric unit holds Rh at (0.0000, 0.0000, 0.0000), Au at (0.0000, 0.5000, 0.6855), Br at (0.0000, 0.0000, 0.5278) and Br at (0.0000, 0.5000, 0.3347).